The following is a DFT calculation (PBE) of an optimized crystal structure of PaHIr3.

Computed properties:
The value obtained for the energy above the most stable polymorph in this dataset is 0.000 eV per atom. Its total energy is -8.48 eV/atom. Its crystal system is trigonal. The mass density comes out at 18.71 g cm⁻³. As for the space group: R3m.

Geometry as extended XYZ:
```
15
Lattice="5.912 0.000 0.000 -2.956 5.120 0.000 0.000 0.000 7.113" Properties=species:S:1:pos:R:3 pbc="T T T"
Pa 0.000 0.000 0.000
Pa 0.000 3.413 4.742
Pa 2.956 1.707 2.371
H 0.000 0.000 4.584
H 0.000 3.413 2.213
H 2.956 1.707 6.955
Ir -1.413 2.597 7.104
Ir 0.000 1.632 2.362
Ir -1.543 4.304 2.362
Ir 1.543 0.891 4.733
Ir 1.413 2.597 7.104
Ir 0.000 5.045 7.104
Ir 1.543 4.304 2.362
Ir 4.369 0.891 4.733
Ir 2.956 3.338 4.733
```

***

The following is a DFT calculation (PBE) of an optimized crystal structure of H3OsBr.

Computed properties:
The value obtained for the energy above the most stable polymorph in this dataset is 1.136 eV per atom. Its total energy is -2.55 eV/atom. Its crystal system is cubic. The mass density comes out at 8.53 g cm⁻³. As for the space group: Pm-3m.

Geometry as extended XYZ:
```
5
Lattice="3.760 0.000 0.000 0.000 3.760 0.000 0.000 0.000 3.760" Properties=species:S:1:pos:R:3 pbc="T T T"
H 0.000 0.000 1.880
H 0.000 1.880 0.000
H 1.880 0.000 0.000
Os 1.880 1.880 1.880
Br 0.000 0.000 0.000
```